Entry A
First-principles (PBE) data for a geometry-optimized TbNd2Pb2 structure, as listed in the Alexandria database.

```
data_TbNd2Pb2
_cell_length_a 8.3266
_cell_length_b 8.3266
_cell_length_c 4.5710
_cell_angle_alpha 90.00
_cell_angle_beta 90.00
_cell_angle_gamma 90.00
_symmetry_space_group_name_H-M 'P 4/m b m'
_symmetry_Int_Tables_number 127
_symmetry_space_group_name_Hall '-P 4 2ab'
loop_
_atom_site_label
_atom_site_type_symbol
_atom_site_fract_x
_atom_site_fract_y
_atom_site_fract_z
Tb1 Tb 0.0000 0.0000 0.0000
Nd1 Nd 0.1683 0.3317 0.5000
Pb1 Pb 0.1360 0.6360 0.0000
```

***

Entry B
First-principles (PBE) data for a geometry-optimized TbNd2Pb2 structure, as listed in the Alexandria database.

```
data_TbNd2Pb2
_cell_length_a 10.2392
_cell_length_b 9.0159
_cell_length_c 7.2571
_cell_angle_alpha 90.00
_cell_angle_beta 90.01
_cell_angle_gamma 90.00
_symmetry_space_group_name_H-M 'P 1 21/c 1'
_symmetry_Int_Tables_number 14
loop_
_symmetry_equiv_pos_as_xyz
'x,y,z'
'-x,-y,-z'
'-x,y+1/2,-z+1/2'
'x,-y+1/2,z+1/2'
loop_
_atom_site_label
_atom_site_type_symbol
_atom_site_fract_x
_atom_site_fract_y
_atom_site_fract_z
Tb1 Tb 0.1120 0.0908 0.2486
Nd1 Nd 0.1809 0.7493 0.0001
Nd2 Nd 0.4093 0.2494 0.5000
Pb1 Pb 0.1541 0.0729 0.7506
Pb2 Pb 0.3864 0.5560 0.7494
```

***

Stability summary: most stable entry A, least stable entry B.

***

Entry A
First-principles (PBE) data for a geometry-optimized Nd2TePb structure, as listed in the Alexandria database.

```
data_Nd2TePb
_cell_length_a 4.4932
_cell_length_b 4.4932
_cell_length_c 23.3976
_cell_angle_alpha 90.00
_cell_angle_beta 90.00
_cell_angle_gamma 120.00
_symmetry_space_group_name_H-M 'R 3 m'
_symmetry_Int_Tables_number 160
_symmetry_space_group_name_Hall 'R 3 -2"'
loop_
_atom_site_label
_atom_site_type_symbol
_atom_site_fract_x
_atom_site_fract_y
_atom_site_fract_z
Nd1 Nd 0.0000 0.0000 0.0000
Nd2 Nd 0.0000 0.0000 0.1764
Te1 Te 0.0000 0.0000 0.7569
Pb1 Pb 0.0000 0.0000 0.5874
```

***

Entry B
First-principles (PBE) data for a geometry-optimized Nd2TePb structure, as listed in the Alexandria database.

```
data_Nd2TePb
_cell_length_a 4.5446
_cell_length_b 4.5446
_cell_length_c 6.4137
_cell_angle_alpha 90.00
_cell_angle_beta 90.00
_cell_angle_gamma 90.00
_symmetry_space_group_name_H-M 'P 4/m m m'
_symmetry_Int_Tables_number 123
_symmetry_space_group_name_Hall '-P 4 2'
loop_
_atom_site_label
_atom_site_type_symbol
_atom_site_fract_x
_atom_site_fract_y
_atom_site_fract_z
Nd1 Nd 0.0000 0.0000 0.0000
Nd2 Nd 0.5000 0.5000 0.5000
Te1 Te 0.0000 0.0000 0.5000
Pb1 Pb 0.5000 0.5000 0.0000
```

***

Entry C
First-principles (PBE) data for a geometry-optimized Nd2TePb structure, as listed in the Alexandria database.

```
data_Nd2TePb
_cell_length_a 4.5471
_cell_length_b 4.5471
_cell_length_c 22.3463
_cell_angle_alpha 90.00
_cell_angle_beta 90.00
_cell_angle_gamma 120.00
_symmetry_space_group_name_H-M 'R -3 m'
_symmetry_Int_Tables_number 166
_symmetry_space_group_name_Hall '-R 3 2"'
loop_
_atom_site_label
_atom_site_type_symbol
_atom_site_fract_x
_atom_site_fract_y
_atom_site_fract_z
Nd1 Nd 0.0000 0.0000 0.2480
Te1 Te 0.0000 0.0000 0.0000
Pb1 Pb 0.0000 0.0000 0.5000
```

***

Stability summary: most stable entry B, least stable entry A.

***

Entry A
First-principles (PBE) data for a geometry-optimized Nd2TePb structure, as listed in the Alexandria database.

```
data_Nd2TePb
_cell_length_a 3.7783
_cell_length_b 3.7783
_cell_length_c 8.4272
_cell_angle_alpha 90.00
_cell_angle_beta 90.00
_cell_angle_gamma 90.00
_symmetry_space_group_name_H-M 'P 4/m m m'
_symmetry_Int_Tables_number 123
_symmetry_space_group_name_Hall '-P 4 2'
loop_
_atom_site_label
_atom_site_type_symbol
_atom_site_fract_x
_atom_site_fract_y
_atom_site_fract_z
Nd1 Nd 0.0000 0.0000 0.2377
Te1 Te 0.5000 0.5000 0.0000
Pb1 Pb 0.5000 0.5000 0.5000
```

***

Entry B
First-principles (PBE) data for a geometry-optimized Nd2TePb structure, as listed in the Alexandria database.

```
data_Nd2TePb
_cell_length_a 6.4182
_cell_length_b 6.4180
_cell_length_c 12.8785
_cell_angle_alpha 90.00
_cell_angle_beta 90.00
_cell_angle_gamma 90.00
_symmetry_space_group_name_H-M 'P m n a'
_symmetry_Int_Tables_number 53
loop_
_symmetry_equiv_pos_as_xyz
'x,y,z'
'-x,-y,-z'
'-x+1/2,-y,z+1/2'
'x+1/2,y,-z+1/2'
'x,-y,-z'
'-x,y,z'
'-x+1/2,y,-z+1/2'
'x+1/2,-y,z+1/2'
loop_
_atom_site_label
_atom_site_type_symbol
_atom_site_fract_x
_atom_site_fract_y
_atom_site_fract_z
Nd1 Nd 0.0000 0.2504 0.1243
Nd2 Nd 0.0000 0.2496 0.6257
Te1 Te 0.0000 0.2504 0.3750
Pb1 Pb 0.0000 0.2496 0.8750
```

***

Stability summary: most stable entry B, least stable entry A.

***

Entry A
First-principles (PBE) data for a geometry-optimized Nd4TePb2 structure, as listed in the Alexandria database.

```
data_Nd4TePb2
_cell_length_a 9.6186
_cell_length_b 9.6186
_cell_length_c 9.6197
_cell_angle_alpha 90.00
_cell_angle_beta 90.00
_cell_angle_gamma 90.00
_symmetry_space_group_name_H-M 'I -4 2 d'
_symmetry_Int_Tables_number 122
_symmetry_space_group_name_Hall 'I -4 2bw'
loop_
_atom_site_label
_atom_site_type_symbol
_atom_site_fract_x
_atom_site_fract_y
_atom_site_fract_z
Nd1 Nd 0.0724 0.1821 0.3030
Te1 Te 0.0000 0.0000 0.0000
Pb1 Pb 0.1249 0.2500 0.6250
```

***

Entry B
First-principles (PBE) data for a geometry-optimized Nd4TePb2 structure, as listed in the Alexandria database.

```
data_Nd4TePb2
_cell_length_a 6.8330
_cell_length_b 6.5934
_cell_length_c 10.6834
_cell_angle_alpha 90.00
_cell_angle_beta 106.16
_cell_angle_gamma 90.00
_symmetry_space_group_name_H-M 'P 1 21/m 1'
_symmetry_Int_Tables_number 11
loop_
_symmetry_equiv_pos_as_xyz
'x,y,z'
'-x,-y,-z'
'-x,y+1/2,-z'
'x,-y+1/2,z'
loop_
_atom_site_label
_atom_site_type_symbol
_atom_site_fract_x
_atom_site_fract_y
_atom_site_fract_z
Nd1 Nd 0.0208 0.0050 0.2709
Nd2 Nd 0.3838 0.7500 0.5514
Nd3 Nd 0.4625 0.7500 0.1450
Te1 Te 0.4026 0.7500 0.8424
Pb1 Pb 0.0830 0.2500 0.0062
Pb2 Pb 0.2156 0.2500 0.5516
```

***

Stability summary: most stable entry A, least stable entry B.

***

Entry A
First-principles (PBE) data for a geometry-optimized NdThTePb structure, as listed in the Alexandria database.

```
data_NdThTePb
_cell_length_a 7.8110
_cell_length_b 7.8110
_cell_length_c 7.8110
_cell_angle_alpha 90.00
_cell_angle_beta 90.00
_cell_angle_gamma 90.00
_symmetry_space_group_name_H-M 'F -4 3 m'
_symmetry_Int_Tables_number 216
_symmetry_space_group_name_Hall 'F -4 2 3'
loop_
_atom_site_label
_atom_site_type_symbol
_atom_site_fract_x
_atom_site_fract_y
_atom_site_fract_z
Nd1 Nd 0.0000 0.0000 0.0000
Th1 Th 0.0000 0.0000 0.5000
Te1 Te 0.2500 0.2500 0.7500
Pb1 Pb 0.2500 0.2500 0.2500
```

***

Entry B
First-principles (PBE) data for a geometry-optimized NdThTePb structure, as listed in the Alexandria database.

```
data_NdThTePb
_cell_length_a 4.5788
_cell_length_b 4.5788
_cell_length_c 21.9095
_cell_angle_alpha 90.00
_cell_angle_beta 90.00
_cell_angle_gamma 120.00
_symmetry_space_group_name_H-M 'R 3 m'
_symmetry_Int_Tables_number 160
_symmetry_space_group_name_Hall 'R 3 -2"'
loop_
_atom_site_label
_atom_site_type_symbol
_atom_site_fract_x
_atom_site_fract_y
_atom_site_fract_z
Nd1 Nd 0.0000 0.0000 0.0000
Th1 Th 0.0000 0.0000 0.5034
Te1 Te 0.0000 0.0000 0.7519
Pb1 Pb 0.0000 0.0000 0.2514
```

***

Stability summary: most stable entry B, least stable entry A.

***

Entry A
First-principles (PBE) data for a geometry-optimized Nd2TlPb2 structure, as listed in the Alexandria database.

```
data_Nd2TlPb2
_cell_length_a 8.2984
_cell_length_b 8.2984
_cell_length_c 4.5515
_cell_angle_alpha 90.00
_cell_angle_beta 90.00
_cell_angle_gamma 90.00
_symmetry_space_group_name_H-M 'P 4/m b m'
_symmetry_Int_Tables_number 127
_symmetry_space_group_name_Hall '-P 4 2ab'
loop_
_atom_site_label
_atom_site_type_symbol
_atom_site_fract_x
_atom_site_fract_y
_atom_site_fract_z
Nd1 Nd 0.1757 0.3243 0.0000
Tl1 Tl 0.0000 0.0000 0.5000
Pb1 Pb 0.1288 0.6288 0.5000
```

***

Entry B
First-principles (PBE) data for a geometry-optimized Nd2TlPb2 structure, as listed in the Alexandria database.

```
data_Nd2TlPb2
_cell_length_a 4.6652
_cell_length_b 15.6166
_cell_length_c 4.5843
_cell_angle_alpha 90.00
_cell_angle_beta 90.00
_cell_angle_gamma 90.00
_symmetry_space_group_name_H-M 'C m m m'
_symmetry_Int_Tables_number 65
_symmetry_space_group_name_Hall '-C 2 2'
loop_
_atom_site_label
_atom_site_type_symbol
_atom_site_fract_x
_atom_site_fract_y
_atom_site_fract_z
Nd1 Nd 0.0000 0.1496 0.0000
Tl1 Tl 0.0000 0.5000 0.0000
Pb1 Pb 0.0000 0.3281 0.5000
```

***

Stability summary: most stable entry A, least stable entry B.

***

Entry A
First-principles (PBE) data for a geometry-optimized Nd2TlPb3 structure, as listed in the Alexandria database.

```
data_Nd2TlPb3
_cell_length_a 4.6671
_cell_length_b 15.8315
_cell_length_c 4.8351
_cell_angle_alpha 90.00
_cell_angle_beta 90.00
_cell_angle_gamma 90.00
_symmetry_space_group_name_H-M 'C m m m'
_symmetry_Int_Tables_number 65
_symmetry_space_group_name_Hall '-C 2 2'
loop_
_atom_site_label
_atom_site_type_symbol
_atom_site_fract_x
_atom_site_fract_y
_atom_site_fract_z
Nd1 Nd 0.0000 0.1493 0.0000
Tl1 Tl 0.0000 0.0000 0.5000
Pb1 Pb 0.0000 0.3242 0.5000
Pb2 Pb 0.0000 0.5000 0.0000
```

***

Entry B
First-principles (PBE) data for a geometry-optimized Nd2TlPb3 structure, as listed in the Alexandria database.

```
data_Nd2TlPb3
_cell_length_a 3.5070
_cell_length_b 5.9256
_cell_length_c 18.8312
_cell_angle_alpha 90.00
_cell_angle_beta 90.00
_cell_angle_gamma 90.00
_symmetry_space_group_name_H-M 'I m m m'
_symmetry_Int_Tables_number 71
_symmetry_space_group_name_Hall '-I 2 2'
loop_
_atom_site_label
_atom_site_type_symbol
_atom_site_fract_x
_atom_site_fract_y
_atom_site_fract_z
Nd1 Nd 0.0000 0.0000 0.1542
Tl1 Tl 0.0000 0.0000 0.5000
Pb1 Pb 0.0000 0.0000 0.3288
Pb2 Pb 0.0000 0.5000 0.5000
```

***

Stability summary: most stable entry A, least stable entry B.

***

Entry A
First-principles (PBE) data for a geometry-optimized NdTlPb structure, as listed in the Alexandria database.

```
data_NdTlPb
_cell_length_a 3.9001
_cell_length_b 3.9001
_cell_length_c 11.8181
_cell_angle_alpha 90.00
_cell_angle_beta 90.00
_cell_angle_gamma 90.00
_symmetry_space_group_name_H-M 'I 4 m m'
_symmetry_Int_Tables_number 107
_symmetry_space_group_name_Hall 'I 4 -2'
loop_
_atom_site_label
_atom_site_type_symbol
_atom_site_fract_x
_atom_site_fract_y
_atom_site_fract_z
Nd1 Nd 0.0000 0.0000 0.0000
Tl1 Tl 0.0000 0.0000 0.6705
Pb1 Pb 0.0000 0.0000 0.3176
```

***

Entry B
First-principles (PBE) data for a geometry-optimized NdTlPb structure, as listed in the Alexandria database.

```
data_NdTlPb
_cell_length_a 4.5754
_cell_length_b 4.6628
_cell_length_c 4.8515
_cell_angle_alpha 90.00
_cell_angle_beta 90.00
_cell_angle_gamma 90.00
_symmetry_space_group_name_H-M 'P m m m'
_symmetry_Int_Tables_number 47
loop_
_symmetry_equiv_pos_as_xyz
'x,y,z'
'-x,-y,-z'
'-x,-y,z'
'x,y,-z'
'x,-y,-z'
'-x,y,z'
'-x,y,-z'
'x,-y,z'
loop_
_atom_site_label
_atom_site_type_symbol
_atom_site_fract_x
_atom_site_fract_y
_atom_site_fract_z
Nd1 Nd 0.0000 0.0000 0.0000
Tl1 Tl 0.0000 0.5000 0.5000
Pb1 Pb 0.5000 0.5000 0.0000
```

***

Entry C
First-principles (PBE) data for a geometry-optimized NdTlPb structure, as listed in the Alexandria database.

```
data_NdTlPb
_cell_length_a 4.7155
_cell_length_b 11.5110
_cell_length_c 6.6885
_cell_angle_alpha 90.00
_cell_angle_beta 90.00
_cell_angle_gamma 90.00
_symmetry_space_group_name_H-M 'C m c m'
_symmetry_Int_Tables_number 63
_symmetry_space_group_name_Hall '-C 2c 2'
loop_
_atom_site_label
_atom_site_type_symbol
_atom_site_fract_x
_atom_site_fract_y
_atom_site_fract_z
Nd1 Nd 0.0000 0.1516 0.2500
Tl1 Tl 0.0000 0.1523 0.7500
Pb1 Pb 0.0000 0.5000 0.0000
```

***

Entry D
First-principles (PBE) data for a geometry-optimized NdTlPb structure, as listed in the Alexandria database.

```
data_NdTlPb
_cell_length_a 4.9450
_cell_length_b 4.9450
_cell_length_c 4.3791
_cell_angle_alpha 90.00
_cell_angle_beta 90.00
_cell_angle_gamma 120.00
_symmetry_space_group_name_H-M 'P 3 m 1'
_symmetry_Int_Tables_number 156
loop_
_symmetry_equiv_pos_as_xyz
'x,y,z'
'-y,x-y,z'
'-x+y,-x,z'
'-y,-x,z'
'-x+y,y,z'
'x,x-y,z'
loop_
_atom_site_label
_atom_site_type_symbol
_atom_site_fract_x
_atom_site_fract_y
_atom_site_fract_z
Nd1 Nd 0.0000 0.0000 0.0000
Tl1 Tl 0.3333 0.6667 0.3362
Pb1 Pb 0.6667 0.3333 0.6242
```

***

Stability summary: most stable entry C, least stable entry B.

***

Entry A
First-principles (PBE) data for a geometry-optimized Nd3TlPb2 structure, as listed in the Alexandria database.

```
data_Nd3TlPb2
_cell_length_a 17.4669
_cell_length_b 6.5931
_cell_length_c 6.5094
_cell_angle_alpha 90.00
_cell_angle_beta 101.58
_cell_angle_gamma 90.00
_symmetry_space_group_name_H-M 'C 1 2/c 1'
_symmetry_Int_Tables_number 15
loop_
_symmetry_equiv_pos_as_xyz
'x,y,z'
'-x,-y,-z'
'-x,y,-z+1/2'
'x,-y,z+1/2'
'x+1/2,y+1/2,z'
'-x+1/2,-y+1/2,-z'
'-x+1/2,y+1/2,-z+1/2'
'x+1/2,-y+1/2,z+1/2'
loop_
_atom_site_label
_atom_site_type_symbol
_atom_site_fract_x
_atom_site_fract_y
_atom_site_fract_z
Nd1 Nd 0.0000 0.1316 0.2500
Nd2 Nd 0.1701 0.3841 0.6023
Tl1 Tl 0.0000 0.3746 0.7500
Pb1 Pb 0.1615 0.1104 0.0679
```

***

Entry B
First-principles (PBE) data for a geometry-optimized Nd3TlPb2 structure, as listed in the Alexandria database.

```
data_Nd3TlPb2
_cell_length_a 13.0189
_cell_length_b 4.8477
_cell_length_c 12.0832
_cell_angle_alpha 90.00
_cell_angle_beta 90.00
_cell_angle_gamma 90.00
_symmetry_space_group_name_H-M 'P n m a'
_symmetry_Int_Tables_number 62
loop_
_symmetry_equiv_pos_as_xyz
'x,y,z'
'-x,-y,-z'
'-x+1/2,-y,z+1/2'
'x+1/2,y,-z+1/2'
'x+1/2,-y+1/2,-z+1/2'
'-x+1/2,y+1/2,z+1/2'
'-x,y+1/2,-z'
'x,-y+1/2,z'
loop_
_atom_site_label
_atom_site_type_symbol
_atom_site_fract_x
_atom_site_fract_y
_atom_site_fract_z
Nd1 Nd 0.0348 0.2500 0.1241
Nd2 Nd 0.1376 0.7500 0.5730
Nd3 Nd 0.2002 0.2500 0.8179
Tl1 Tl 0.1515 0.2500 0.3542
Pb1 Pb 0.0040 0.7500 0.3280
Pb2 Pb 0.1802 0.7500 0.0366
```

***

Stability summary: most stable entry A, least stable entry B.

***

Entry A
First-principles (PBE) data for a geometry-optimized Nd4Tl2Pb structure, as listed in the Alexandria database.

```
data_Nd4Tl2Pb
_cell_length_a 9.6490
_cell_length_b 9.6490
_cell_length_c 9.6775
_cell_angle_alpha 90.00
_cell_angle_beta 90.00
_cell_angle_gamma 90.00
_symmetry_space_group_name_H-M 'I -4 2 d'
_symmetry_Int_Tables_number 122
_symmetry_space_group_name_Hall 'I -4 2bw'
loop_
_atom_site_label
_atom_site_type_symbol
_atom_site_fract_x
_atom_site_fract_y
_atom_site_fract_z
Nd1 Nd 0.0720 0.1770 0.3030
Tl1 Tl 0.1237 0.2500 0.6250
Pb1 Pb 0.0000 0.0000 0.0000
```

***

Entry B
First-principles (PBE) data for a geometry-optimized Nd4Tl2Pb structure, as listed in the Alexandria database.

```
data_Nd4Tl2Pb
_cell_length_a 5.4613
_cell_length_b 5.4613
_cell_length_c 26.7810
_cell_angle_alpha 90.00
_cell_angle_beta 90.00
_cell_angle_gamma 120.00
_symmetry_space_group_name_H-M 'R -3 m'
_symmetry_Int_Tables_number 166
_symmetry_space_group_name_Hall '-R 3 2"'
loop_
_atom_site_label
_atom_site_type_symbol
_atom_site_fract_x
_atom_site_fract_y
_atom_site_fract_z
Nd1 Nd 0.0000 0.0000 0.1204
Nd2 Nd 0.0000 0.0000 0.3735
Tl1 Tl 0.0000 0.0000 0.2546
Pb1 Pb 0.0000 0.0000 0.5000
```

***

Stability summary: most stable entry A, least stable entry B.